# 1
ZnRe3Au | Alexandria via LeMat-Bulk | PBE | optimized geometry; energy relative to the elements = 3.01 eV per atom; total DFT energy (no corrections) = -5.37 eV/atom
1.0
-0.470 -4.309 2.160
1.707 -2.178 -3.974
4.508 0.376 1.731
Re Zn Au
3 1 1
Direct
0.000 0.500 0.000 Re
0.000 0.000 0.500 Re
0.500 0.000 0.000 Re
0.500 0.500 0.500 Zn
0.000 0.000 0.000 Au

# 2
Dy8Cu2Sn | Alexandria via LeMat-Bulk | PBE | optimized geometry; energy relative to the elements = -0.13 eV per atom; total DFT energy (no corrections) = -4.59 eV/atom
1.0
5.339 -0.108 -0.162
-1.039 7.958 -0.211
-1.039 -3.260 7.263
Dy Cu Sn
8 2 1
Direct
0.911 0.921 0.672 Dy
0.911 0.672 0.921 Dy
0.304 0.607 0.607 Dy
0.500 0.758 0.242 Dy
0.500 0.242 0.758 Dy
0.696 0.393 0.393 Dy
0.089 0.328 0.079 Dy
0.089 0.079 0.328 Dy
0.000 0.308 0.692 Cu
0.000 0.692 0.308 Cu
0.500 0.000 0.000 Sn

# 3
CuPtRhPb | Alexandria via LeMat-Bulk | PBE | optimized geometry; energy relative to the elements = 0.01 eV per atom; total DFT energy (no corrections) = -5.29 eV/atom
1.0
-0.384 3.958 2.183
-2.654 0.321 3.665
1.856 0.515 4.107
Pb Rh Cu Pt
1 1 1 1
Direct
0.500 0.500 0.500 Pb
0.250 0.250 0.250 Rh
0.000 0.000 0.000 Cu
0.750 0.750 0.750 Pt

# 4
KRb2Tc2 | Alexandria via LeMat-Bulk | PBE | optimized geometry; energy relative to the elements = 1.22 eV per atom; total DFT energy (no corrections) = -3.53 eV/atom
1.0
-8.670 -6.332 0.716
5.844 -8.383 -3.370
0.736 -0.673 2.950
K Tc Rb
2 4 4
Direct
0.000 0.000 0.000 K
0.500 0.500 0.000 K
0.431 0.931 0.000 Tc
0.931 0.569 0.000 Tc
0.569 0.069 0.000 Tc
0.069 0.431 0.000 Tc
0.205 0.705 0.500 Rb
0.705 0.795 0.500 Rb
0.795 0.295 0.500 Rb
0.295 0.205 0.500 Rb

# 5
LiBI3 | Alexandria via LeMat-Bulk | PBE | optimized geometry; E_form (uncorrected) = 0.719 eV/atom; total DFT energy (no corrections) = -1.93 eV/atom
1.0
-2.034 -4.171 2.933
-0.355 -3.034 -4.562
5.087 -1.880 0.854
I B Li
3 1 1
Direct
0.000 0.500 0.000 I
0.000 0.000 0.500 I
0.500 0.000 0.000 I
0.500 0.500 0.500 B
0.000 0.000 0.000 Li

# 6
Sc2Ni | Alexandria via LeMat-Bulk | PBE | optimized geometry; energy relative to the elements = -0.17 eV per atom; total DFT energy (no corrections) = -6.32 eV/atom
1.0
3.485 0.000 0.000
0.000 6.011 0.000
0.000 0.000 6.117
Sc Ni
4 2
Direct
0.000 0.345 0.235 Sc
0.500 0.845 0.265 Sc
0.500 0.155 0.735 Sc
0.000 0.655 0.765 Sc
0.000 0.000 0.000 Ni
0.500 0.500 0.500 Ni

# 7
TbLuHg4 | Alexandria via LeMat-Bulk | PBE | optimized geometry; energy relative to the elements = -0.16 eV per atom; total DFT energy (no corrections) = -1.88 eV/atom
1.0
5.931 0.000 0.000
2.965 5.136 0.000
2.965 1.712 4.842
Lu Tb Hg
1 1 4
Direct
0.000 0.000 0.000 Lu
0.250 0.250 0.250 Tb
0.625 0.625 0.125 Hg
0.625 0.125 0.625 Hg
0.625 0.625 0.625 Hg
0.125 0.625 0.625 Hg

# 8
CaTl5Bi2 | Alexandria via LeMat-Bulk | PBE | optimized geometry; energy relative to the elements = -0.19 eV per atom; total DFT energy (no corrections) = -2.89 eV/atom
1.0
4.888 0.000 0.000
0.000 7.163 0.000
0.000 0.000 14.237
Ca Tl Bi
2 10 4
Direct
0.000 0.000 0.500 Ca
0.000 0.500 0.000 Ca
0.000 0.000 0.000 Tl
0.000 0.500 0.500 Tl
0.000 0.470 0.747 Tl
0.000 0.530 0.253 Tl
0.000 0.030 0.247 Tl
0.000 0.970 0.753 Tl
0.500 0.223 0.868 Tl
0.500 0.777 0.132 Tl
0.500 0.277 0.368 Tl
0.500 0.723 0.632 Tl
0.500 0.228 0.618 Bi
0.500 0.772 0.382 Bi
0.500 0.272 0.118 Bi
0.500 0.728 0.882 Bi